SmInPb PBE relaxed; final energy = -24.8 eV for the cell shown; crystal system = orthorhombic; symmetry = No. 63; excess energy over the best structure of this formula in the dataset = 1 meV per atom; theoretical density = 9.2 g/cm³; M_tot = 0.00 μB per atom; calculated volume = 28.54 Å³ per atom; D(E_F) = 4.8 states/eV per cell; energy relative to the elements = -0.4051 eV per atom
1.0
-0.1889 1.9973 4.0027
-3.1246 -3.1219 1.4103
7.6459 -3.3021 2.0084
Sm In Pb
2 2 2
direct
0.2500 0.0934 0.1867 Sm
0.7500 0.9066 0.8133 Sm
0.2500 0.7455 0.4910 In
0.7500 0.2545 0.5090 In
0.2500 0.4262 0.8524 Pb
0.7500 0.5738 0.1476 Pb